Record 1
An optimized crystal structure of KLi2TlRh. Source: the Alexandria database, functional PBE-GGA.

The structure in POSCAR format:
```
KLi2TlRh
1.0
-2.7427 1.3945 3.9330
-4.1720 -1.0149 -2.5495
0.0922 -4.9465 1.8181
Li Tl Rh K
2 1 1 1
direct
0.5000 0.0000 0.0000
0.0000 0.5000 0.0000
0.0000 0.0000 0.5000
0.0000 0.0000 0.0000
0.5000 0.5000 0.5000
```

Properties
E_form	-0.0172	eV/atom
total magnetization	0.000	μB per atom
total DFT energy (no corrections)	-14.73	eV per formula unit
Fermi-level density of states	1.96	states/eV/f.u.

Record 2
An optimized crystal structure of KLiZn2Rh. Source: the Alexandria database, functional PBE-GGA.

The structure in POSCAR format:
```
KLiZn2Rh
1.0
-2.6866 -3.9305 -1.1949
-0.6971 -0.9708 4.7609
-4.0236 2.7584 -0.0267
Zn Li K Rh
2 1 1 1
direct
0.0000 0.5000 0.0000
0.5000 0.0000 0.0000
0.0000 0.0000 0.5000
0.5000 0.5000 0.5000
0.0000 0.0000 0.0000
```

Properties
E_form	-0.0731	eV/atom
total magnetization	0.000	μB per atom
total DFT energy (no corrections)	-13.28	eV per formula unit
Fermi-level density of states	1.80	states/eV/f.u.

Record 3
An optimized crystal structure of KLi2Ru. Source: the Alexandria database, functional PBE-GGA.

The structure in POSCAR format:
```
KLi2Ru
1.0
4.8369 -0.0187 -0.0097
4.1084 2.5528 -0.0097
0.3216 0.0911 7.2569
Ru Li K
1 2 1
direct
0.5061 0.5061 0.4031
0.2458 0.2458 0.2864
0.9937 0.9937 0.1001
0.7544 0.7544 0.7104
```

Properties
E_form	0.5579	eV/atom
total magnetization	0.046	μB per atom
total DFT energy (no corrections)	-11.97	eV per formula unit
ΔE to the lowest computed polymorph	54	meV per atom
Fermi-level density of states	3.52	states/eV/f.u.

Record 4
An optimized crystal structure of K2LiRu. Source: the Alexandria database, functional PBE-GGA.

The structure in POSCAR format:
```
K2LiRu
1.0
-4.3786 3.3570 0.5277
-0.5276 -0.2448 -2.8203
-3.9408 -5.1369 -0.0206
Ru K Li
1 2 1
direct
0.5000 0.7500 0.7500
0.0000 0.4039 0.5152
0.0000 0.0961 0.9848
0.5000 0.2500 0.2500
```

Properties
E_form	0.9677	eV/atom
total magnetization	0.000	μB per atom
total DFT energy (no corrections)	-9.51	eV per formula unit
ΔE to the lowest computed polymorph	242	meV per atom
Fermi-level density of states	2.48	states/eV/f.u.

Copy entry 1 word for word.
An optimized crystal structure of KLi2TlRh. Source: the Alexandria database, functional PBE-GGA.

The structure in POSCAR format:
```
KLi2TlRh
1.0
-2.7427 1.3945 3.9330
-4.1720 -1.0149 -2.5495
0.0922 -4.9465 1.8181
Li Tl Rh K
2 1 1 1
direct
0.5000 0.0000 0.0000
0.0000 0.5000 0.0000
0.0000 0.0000 0.5000
0.0000 0.0000 0.0000
0.5000 0.5000 0.5000
```

Properties
E_form	-0.0172	eV/atom
total magnetization	0.000	μB per atom
total DFT energy (no corrections)	-14.73	eV per formula unit
Fermi-level density of states	1.96	states/eV/f.u.